# 1
# LuCoTc2

Crystalline LuCoTc2 at its relaxed geometry (GGA-PBE, OQMD via LeMat-Bulk).

Results
The space group is F-43m (216). The calculated formation energy is 31 meV per atom.

Unit cell a=4.4508 b=4.4508 c=4.4508 alpha=60.00 beta=60.00 gamma=60.00
Closest atoms and distances in Å follow each position.
Fractional positions:
1 Lu 0.5000 0.5000 0.5000  4 Tc 2.73, 4 Co 2.73
2 Tc 0.0000 0.0000 0.0000  4 Co 2.73, 4 Tc 2.73
3 Tc 0.7500 0.7500 0.7500  4 Lu 2.73, 4 Tc 2.73
4 Co 0.2500 0.2500 0.2500  4 Tc 2.73, 4 Lu 2.73

---

# 2
# BaCdS2

Crystalline BaCdS2 at its relaxed geometry (GGA-PBE, OQMD via LeMat-Bulk).

Results
The space group is Pmmn (59). For the calculated total energy, the calculation gives -0.2991 Ry per atom.

Unit cell a=4.2894 b=5.2313 c=9.7299 alpha=90.00 beta=90.00 gamma=90.00
Closest atoms and distances in Å follow each position.
Fractional positions:
1 Cd 0.0000 0.5000 0.4032  5 S 2.55-2.68
2 Ba 0.0000 0.5000 0.8257  7 S 3.07-3.40
3 Ba 0.5000 0.0000 0.1743  7 S 3.07-3.40
4 S 0.0000 0.0000 0.4318  4 Cd 2.63-2.68
5 Cd 0.5000 0.0000 0.5968  5 S 2.55-2.68
6 S 0.5000 0.5000 0.5682  4 Cd 2.63-2.68
7 S 0.0000 0.5000 0.1414  1 Cd 2.55
8 S 0.5000 0.0000 0.8586  1 Cd 2.55

---

# 3
# OsO2

Crystalline OsO2 at its relaxed geometry (GGA-PBE, OQMD via LeMat-Bulk).

Results
The space group is C2/m (12). For the calculated total energy, the calculation gives -0.5531 Ry per atom.

Unit cell a=4.5711 b=4.5711 c=5.6618 alpha=127.00 beta=127.00 gamma=42.22
Closest atoms and distances in Å follow each position.
Fractional positions:
1 Os 0.1949 0.1949 0.7034  6 O 1.97-2.12
2 O 0.6237 0.6237 0.8413  3 Os 1.97-2.07
3 O 0.1738 0.1738 0.3091  3 Os 2.02-2.12
4 O 0.3763 0.3763 0.1587  3 Os 1.97-2.07
5 Os 0.8051 0.8051 0.2966  6 O 1.97-2.12
6 O 0.8262 0.8262 0.6909  3 Os 2.02-2.12

---

# 4
# Y2ErSc3CuSe2

Crystalline Y2ErSc3CuSe2 at its relaxed geometry (GGA-PBE, OQMD via LeMat-Bulk).

Results
The space group is Amm2 (38). For the calculated total energy, the calculation gives -0.4415 Ry per atom.

Unit cell a=3.8439 b=7.7463 c=7.7463 alpha=120.16 beta=90.00 gamma=90.00
Closest atoms and distances in Å follow each position.
Fractional positions:
1 Y 0.0000 0.0000 0.4044  4 Se 3.04, 1 Cu 3.14, 6 Sc 3.33-3.34
2 Sc 0.5000 0.7556 0.9989  2 Cu 2.69, 2 Se 2.97-3.01
3 Y 0.0000 0.4044 0.0000  4 Se 3.04, 1 Cu 3.14, 6 Sc 3.33-3.34
4 Se 0.5000 0.6666 0.3345  3 Sc 2.97-3.01, 2 Er 3.04, 4 Y 3.04
5 Sc 0.5000 0.9989 0.7556  2 Cu 2.69, 2 Se 2.97-3.01
6 Sc 0.5000 0.2451 0.2451  2 Cu 2.71, 2 Se 2.98
7 Er 0.0000 0.5968 0.5968  4 Se 3.04, 1 Cu 3.10, 6 Sc 3.33
8 Se 0.5000 0.3345 0.6666  3 Sc 2.97-3.01, 2 Er 3.04, 4 Y 3.04
9 Cu 0.0000 0.9978 0.9978  6 Sc 2.69-2.71

---

# 5
# CsDyYTe3

Crystalline CsDyYTe3 at its relaxed geometry (GGA-PBE, OQMD via LeMat-Bulk).

Results
The space group is Cmcm (63). For the calculated total energy, the calculation gives -0.3532 Ry per atom.

Unit cell a=9.0727 b=9.0727 c=11.8841 alpha=90.00 beta=90.00 gamma=149.62
Closest atoms and distances in Å follow each position.
Fractional positions:
1 Dy 0.0341 0.9659 0.2500  4 Te 2.91-2.94
2 Cs 0.2436 0.7564 0.7500  8 Te 3.93-4.19
3 Dy 0.9659 0.0341 0.7500  4 Te 2.91-2.94
4 Te 0.8800 0.1200 0.5399  1 Dy 2.91, 2 Y 3.21
5 Y 0.5000 0.5000 0.0000  6 Te 3.18-3.21
6 Te 0.1200 0.8800 0.0399  1 Dy 2.91, 2 Y 3.21
7 Te 0.4353 0.5647 0.2500  2 Dy 2.94, 2 Y 3.18
8 Y 0.5000 0.5000 0.5000  6 Te 3.18-3.21
9 Te 0.8800 0.1200 0.9601  1 Dy 2.91, 2 Y 3.21
10 Te 0.1200 0.8800 0.4601  1 Dy 2.91, 2 Y 3.21
11 Te 0.5647 0.4353 0.7500  2 Dy 2.94, 2 Y 3.18
12 Cs 0.7564 0.2436 0.2500  8 Te 3.93-4.19

---

# 6
# Ba2NaNbS6

Crystalline Ba2NaNbS6 at its relaxed geometry (GGA-PBE, OQMD via LeMat-Bulk).

Results
The space group is Fm-3m (225). For the calculated total energy, the calculation gives -0.3777 Ry per atom.

Unit cell a=7.1124 b=7.1124 c=7.1124 alpha=120.00 beta=120.00 gamma=60.00
Closest atoms and distances in Å follow each position.
Fractional positions:
1 S 0.2412 0.7588 0.2412  1 Nb 2.43, 1 Na 2.60
2 Nb 0.0000 0.0000 0.0000  6 S 2.43
3 S 0.2412 0.7588 0.7588  1 Nb 2.43, 1 Na 2.60
4 Ba 0.7500 0.7500 0.2500  12 S 3.56
5 Na 0.5000 0.5000 0.5000  6 S 2.60
6 Ba 0.2500 0.2500 0.7500  12 S 3.56
7 S 0.2412 0.2412 0.2412  1 Nb 2.43, 1 Na 2.60
8 S 0.7588 0.2412 0.2412  1 Nb 2.43, 1 Na 2.60
9 S 0.7588 0.2412 0.7588  1 Nb 2.43, 1 Na 2.60
10 S 0.7588 0.7588 0.7588  1 Nb 2.43, 1 Na 2.60

---

# 7
# Y2In2Ni3Pt

Crystalline Y2In2Ni3Pt at its relaxed geometry (GGA-PBE, OQMD via LeMat-Bulk).

Results
The space group is P3m1 (156). For the calculated total energy, the calculation gives -0.4186 Ry per atom.

Unit cell a=4.4664 b=4.4664 c=8.6497 alpha=90.00 beta=90.00 gamma=120.00
Closest atoms and distances in Å follow each position.
Fractional positions:
1 Y 0.0000 0.0000 0.7455  7 Ni 2.80-2.93, 1 Pt 3.04
2 Ni 0.3333 0.6667 0.5865  3 In 2.68, 4 Ni 2.76-2.94, 4 Y 2.87-2.92
3 Pt 0.0000 0.0000 0.0965  3 In 2.75, 4 Ni 2.82-3.06, 4 Y 2.92-3.04
4 Ni 0.0000 0.0000 0.4220  3 In 2.67, 4 Y 2.80-2.96, 1 Pt 2.82, 3 Ni 2.94
5 Y 0.3333 0.6667 0.2552  5 Ni 2.87-3.02, 3 Pt 2.92
6 In 0.6667 0.3333 0.9850  3 Ni 2.67, 3 Pt 2.75
7 In 0.6667 0.3333 0.5034  6 Ni 2.67-2.68
8 Ni 0.3333 0.6667 0.9060  3 In 2.67, 1 Ni 2.76, 3 Y 2.93

---

# 8
# TbInGe

Crystalline TbInGe at its relaxed geometry (GGA-PBE, OQMD via LeMat-Bulk).

Results
The space group is P-62m (189). For the calculated total energy, the calculation gives -0.3296 Ry per atom.

Unit cell a=7.5992 b=7.5992 c=4.2318 alpha=90.00 beta=90.00 gamma=120.00
Closest atoms and distances in Å follow each position.
Fractional positions:
1 Tb 0.6127 0.0000 0.5000  5 Ge 2.94-3.17
2 Ge 0.6667 0.3333 0.0000  3 In 2.82
3 Ge 0.3333 0.6667 0.0000  3 In 2.82
4 In 0.7332 0.7332 0.0000  4 Ge 2.82-2.93
5 Ge 0.0000 0.0000 0.5000  6 In 2.93, 3 Tb 2.94
6 In 0.2668 0.0000 0.0000  4 Ge 2.82-2.93
7 Tb 0.0000 0.6127 0.5000  5 Ge 2.94-3.17
8 Tb 0.3873 0.3873 0.5000  5 Ge 2.94-3.17
9 In 0.0000 0.2668 0.0000  4 Ge 2.82-2.93